A plane-wave DFT calculation with PBE+U was carried out for a relaxed structure of ZrFeP2O.

Cell lengths 4.6715, 4.6715, 3.6262 Å; angles 90.00, 90.00, 90.00 degrees
Last column: nearest neighbours and their distance in Å.
Positions (direct):
P 0.0000 0.5000 0.0000  2 Fe 2.34
P 0.5000 0.0000 0.0000  2 Fe 2.34
Zr 0.5000 0.5000 0.5000  8 P 2.96, 4 O 3.30
Fe 0.0000 0.0000 0.0000  2 O 1.81
O 0.0000 0.0000 0.5000  2 Fe 1.81

## Properties
The value obtained for the density is 4.7 g cm⁻³. The total energy is -31.13 eV/cell. As for the space group: P4/mmm, No. 123. As for the volume: 79 Å³/cell. Its crystal system is tetragonal.